# 1
Here is an optimized crystal structure of ScZnAg2 from Alexandria via LeMat-Bulk. Energies are from GGA-PBE.

Cell lengths 5.0851, 5.6973, 2.9937 Å; angles 76.45, 86.34, 115.44 degrees
Fractional coordinates of all 4 atoms:
Ag: 0.0000 0.0000 0.0000
Zn: 0.5000 0.5000 0.0000
Ag: 0.5000 0.0000 0.5000
Sc: 0.0000 0.5000 0.5000

Output
- formation enthalpy at 0 K (meV/atom) = -28
- total moment (μB/atom) = 0.000



# 2
Here is an optimized crystal structure of Zr2CuC from Alexandria via LeMat-Bulk. Energies are from GGA-PBE.

Cell lengths 3.3651, 3.3651, 6.8751 Å; angles 90.01, 104.15, 120.00 degrees
Fractional coordinates of all 4 atoms:
C: 0.0000 0.0000 0.0000
Cu: 0.0000 0.5000 0.5000
Zr: 0.5376 0.2687 0.8064
Zr: 0.4623 0.7313 0.1936

Output
- formation enthalpy at 0 K (meV/atom) = -410
- total moment (μB/atom) = 0.000



# 3
Here is an optimized crystal structure of ZnSb2P from Alexandria via LeMat-Bulk. Energies are from GGA-PBE.

Cell lengths 5.5952, 5.5952, 3.0126 Å; angles 89.97, 89.97, 89.98 degrees
Fractional coordinates of all 4 atoms:
Sb: 0.5000 0.0000 0.0000
Sb: 0.0000 0.5000 0.0000
P: 0.0000 0.0000 0.0000
Zn: 0.5000 0.5000 0.0000

Output
- formation energy (no corrections) (eV per atom) = 0.226
- total moment (μB/atom) = 0.000



Q: total moment of number 3 (ZnSb2P)?
A: 0.000 μB/atom



Q: Look up the total moment of the third one.
A: 0.000 μB/atom



Q: Which formula does entry 1 have?
A: ScZnAg2